No. 1
# NbN2O2

An optimized crystal structure of NbN2O2 (PBE-GGA, the Alexandria database).

Values from the calculation:
Its electronic total energy is -75.1 eV per cell. The calculation puts the uncorrected formation energy at -0.181 eV/atom. The value obtained for the polymorph energy (0 for the lowest one) is 0.0 meV/atom. Its crystal system is tetragonal. As for the volume: 48.0 Å³/f.u.

```
data_NbN2O2
_symmetry_space_group_name_H-M 'I 4/m m m'
_symmetry_Int_Tables_number 139
_symmetry_space_group_name_Hall '-I 4 2'
_cell_length_a 4.2300
_cell_length_b 4.2300
_cell_length_c 5.3609
_cell_angle_alpha 90.00
_cell_angle_beta 90.00
_cell_angle_gamma 90.00
loop_
_atom_site_label
_atom_site_type_symbol
_atom_site_fract_x
_atom_site_fract_y
_atom_site_fract_z
Nb1 Nb 0.0000 0.0000 0.0000
N1 N 0.0000 0.0000 0.3957
O1 O 0.0000 0.5000 0.2500
```

No. 2
# CsCuAs

An optimized crystal structure of CsCuAs (PBE-GGA, the Alexandria database).

Values from the calculation:
Its electronic total energy is -39.6 eV per cell. The value obtained for the polymorph energy (0 for the lowest one) is 180.9 meV/atom. Its crystal system is monoclinic. As for the volume: 115.9 Å³/f.u.

```
data_CsCuAs
_symmetry_space_group_name_H-M 'P 1 21/c 1'
_symmetry_Int_Tables_number 14
_symmetry_space_group_name_Hall '-P 2ybc'
_cell_length_a 8.5452
_cell_length_b 5.0564
_cell_length_c 11.3920
_cell_angle_alpha 90.00
_cell_angle_beta 109.59
_cell_angle_gamma 90.00
loop_
_atom_site_label
_atom_site_type_symbol
_atom_site_fract_x
_atom_site_fract_y
_atom_site_fract_z
Cs1 Cs 0.2110 0.2501 0.4276
Cu1 Cu 0.4992 0.0061 0.2497
As1 As 0.2612 0.7462 0.6902
```